Entry 1:
Density functional theory data (GGA-PBE) for crystalline AcEr6Tm2 at its relaxed geometry.

The structure belongs to space group P-6m2 (No. 187); the cell edges are 3.5954, 3.5954 and 26.0602 Å and the angles 90.00°, 90.00° and 120.00°. The inequivalent atoms are Ac at (0.0000, 0.0000, 0.0000), Er at (0.0000, 0.0000, 0.2246), Er at (0.0000, 0.0000, 0.4357), Er at (0.3333, 0.6667, 0.1188) and Tm at (0.3333, 0.6667, 0.3312).

The value obtained for the excess energy over the best structure of this formula in the dataset is 0 meV per atom. The value obtained for the raw total energy is -4.411 eV/atom. As for the formation enthalpy at 0 K: 0.0806 eV per atom.

***

Entry 2:
Density functional theory data (GGA-PBE) for crystalline AcEr2Tm at its relaxed geometry.

The structure belongs to space group R3m (No. 160, hexagonal axes); the cell edges are 3.6537, 3.6537 and 34.9896 Å and the angles 90.00°, 90.00° and 120.00°. The inequivalent atoms are Ac at (0.0000, 0.0000, 0.0000), Er at (0.0000, 0.0000, 0.5782), Er at (0.0000, 0.0000, 0.7540) and Tm at (0.0000, 0.0000, 0.1657).

The value obtained for the excess energy over the best structure of this formula in the dataset is 21 meV per atom. The value obtained for the raw total energy is -4.347 eV/atom. As for the formation enthalpy at 0 K: 0.0794 eV per atom.

***

Entry 3:
Density functional theory data (GGA-PBE) for crystalline AcEr2Tm at its relaxed geometry.

The structure belongs to space group P4/mmm (No. 123); the cell edges are 4.068, 4.068 and 8.292 Å and the angles 90.00°, 90.00° and 90.00°. The inequivalent atoms are Ac at (0.000, 0.000, 0.000), Er at (0.500, 0.500, 0.281) and Tm at (0.000, 0.000, 0.500).

The value obtained for the excess energy over the best structure of this formula in the dataset is 46 meV per atom. The value obtained for the raw total energy is -4.322 eV/atom. As for the formation enthalpy at 0 K: 0.1041 eV per atom.

***

Entry 4:
Density functional theory data (GGA-PBE) for crystalline AcEr12Tm5 at its relaxed geometry.

The structure belongs to space group C2/m (No. 12); the cell edges are 11.215, 17.162 and 5.877 Å and the angles 90.00°, 90.39° and 90.00°. The inequivalent atoms are Ac at (0.000, 0.000, 0.000), Er at (0.160, 0.500, 0.965), Er at (0.167, 0.331, 0.543), Er at (0.181, 0.168, 0.953), Er at (0.187, 0.000, 0.534), Tm at (0.000, 0.163, 0.500), Tm at (0.000, 0.326, 0.000) and Tm at (0.000, 0.500, 0.500).

The value obtained for the raw total energy is -4.378 eV/atom. As for the formation enthalpy at 0 K: 0.1344 eV per atom.

***

Entry 5:
Density functional theory data (GGA-PBE) for crystalline AcEr3Tm2 at its relaxed geometry.

The structure belongs to space group C2/c (No. 15); the cell edges are 9.060, 9.852 and 8.949 Å and the angles 90.00°, 102.28° and 90.00°. The inequivalent atoms are Ac at (0.000, 0.071, 0.250), Er at (0.000, 0.414, 0.250), Er at (0.231, 0.411, 0.990) and Tm at (0.126, 0.257, 0.626).

The value obtained for the raw total energy is -4.345 eV/atom. As for the formation enthalpy at 0 K: 0.1117 eV per atom.

***

Entry 6:
Density functional theory data (GGA-PBE) for crystalline AcEr5Tm6 at its relaxed geometry.

The structure belongs to space group C2/m (No. 12); the cell edges are 6.126, 10.606 and 11.704 Å and the angles 90.00°, 100.05° and 90.00°. The inequivalent atoms are Ac at (0.000, 0.000, 0.000), Er at (0.000, 0.167, 0.500), Er at (0.000, 0.333, 0.000), Er at (0.000, 0.500, 0.500), Tm at (0.247, 0.332, 0.745) and Tm at (0.248, 0.500, 0.255).

The value obtained for the raw total energy is -4.438 eV/atom. As for the formation enthalpy at 0 K: 0.0412 eV per atom.

***

Entry 7:
Density functional theory data (GGA-PBE) for crystalline AcEr2Tm at its relaxed geometry.

The structure belongs to space group P4/mmm (No. 123); the cell edges are 5.114, 5.114 and 5.149 Å and the angles 90.00°, 90.00° and 90.00°. The inequivalent atoms are Ac at (0.000, 0.000, 0.000), Er at (0.000, 0.500, 0.500) and Tm at (0.500, 0.500, 0.000).

The value obtained for the excess energy over the best structure of this formula in the dataset is 16 meV per atom. The value obtained for the raw total energy is -4.352 eV/atom. As for the formation enthalpy at 0 K: 0.0742 eV per atom.

***

Entry 8:
Density functional theory data (GGA-PBE) for crystalline AcEr6Tm3 at its relaxed geometry.

The structure belongs to space group R3 (No. 146, hexagonal axes); the cell edges are 9.7214, 9.7214 and 12.0457 Å and the angles 90.00°, 90.00° and 120.00°. The inequivalent atoms are Ac at (0.0000, 0.0000, 0.0000), Er at (0.0002, 0.3512, 0.0004), Er at (0.0000, 0.6622, 0.5003), Tm at (0.0000, 0.0000, 0.2609), Tm at (0.0000, 0.0000, 0.4999) and Tm at (0.0000, 0.0000, 0.7387).

The value obtained for the raw total energy is -4.170 eV/atom. As for the formation enthalpy at 0 K: 0.3204 eV per atom.

***

Entry 9:
Density functional theory data (GGA-PBE) for crystalline AcEr4Tm at its relaxed geometry.

The structure belongs to space group Pmmm (No. 47); the cell edges are 3.532, 5.659 and 9.758 Å and the angles 90.00°, 90.00° and 90.00°. The inequivalent atoms are Ac at (0.000, 0.000, 0.000), Er at (0.500, 0.000, 0.340), Er at (0.500, 0.500, 0.176) and Tm at (0.000, 0.500, 0.500).

The value obtained for the raw total energy is -4.375 eV/atom. As for the formation enthalpy at 0 K: 0.0964 eV per atom.

***

Entry 10:
Density functional theory data (GGA-PBE) for crystalline AcEr7Tm12 at its relaxed geometry.

The structure belongs to space group Im-3 (No. 204); the cell edges are 11.232, 11.232 and 11.232 Å and the angles 90.00°, 90.00° and 90.00°. The inequivalent atoms are Ac at (0.000, 0.000, 0.000), Er at (0.000, 0.000, 0.500), Er at (0.250, 0.250, 0.250) and Tm at (0.000, 0.266, 0.267).

The value obtained for the excess energy over the best structure of this formula in the dataset is 469 meV per atom. The value obtained for the raw total energy is -3.774 eV/atom. As for the formation enthalpy at 0 K: 0.7111 eV per atom.